Entry from the Alexandria database: a relaxed structure of In5Ga2Au12 (PBE).

The structure in POSCAR format:
```
In5Ga2Au12
1.0
7.177 0.007 1.559
1.335 7.046 2.446
0.230 -0.275 7.568
In Ga Au
5 2 12
direct
0.131 0.292 0.292 In
0.581 0.330 0.330 In
0.500 0.000 0.000 In
0.419 0.670 0.670 In
0.869 0.708 0.708 In
0.000 0.759 0.241 Ga
0.000 0.241 0.759 Ga
0.925 0.133 0.133 Au
0.356 0.084 0.631 Au
0.356 0.631 0.084 Au
0.763 0.098 0.642 Au
0.763 0.642 0.098 Au
0.792 0.494 0.494 Au
0.208 0.506 0.506 Au
0.237 0.902 0.358 Au
0.237 0.358 0.902 Au
0.644 0.916 0.369 Au
0.644 0.369 0.916 Au
0.075 0.867 0.867 Au
```

Properties
Excess energy over the best structure of this formula in the dataset in eV per atom: 0.0000
Space group: C2/m, No. 12
Energy relative to the elements in eV/atom: -0.14

Entry from the Alexandria database: a relaxed structure of InGaAu4 (PBE).

The structure in POSCAR format:
```
InGaAu4
1.0
5.579 0.000 0.000
2.789 4.831 0.000
2.789 1.610 4.555
Au Ga In
4 1 1
direct
0.625 0.625 0.125 Au
0.625 0.125 0.625 Au
0.625 0.625 0.625 Au
0.125 0.625 0.625 Au
0.000 0.000 0.000 Ga
0.250 0.250 0.250 In
```

Properties
Excess energy over the best structure of this formula in the dataset in eV per atom: 0.1192
Space group: F-43m, No. 216
Energy relative to the elements in eV/atom: 0.00

Entry from the Alexandria database: a relaxed structure of InGa3Au (PBE).

The structure in POSCAR format:
```
InGa3Au
1.0
4.519 0.000 0.000
0.000 6.969 0.758
-0.001 -0.780 6.685
In Ga Au
2 6 2
direct
0.381 0.447 0.276 In
0.881 0.226 0.531 In
0.881 0.685 0.427 Ga
0.381 0.989 0.379 Ga
0.881 0.679 0.881 Ga
0.881 0.305 0.012 Ga
0.381 0.370 0.793 Ga
0.381 0.997 0.926 Ga
0.381 0.720 0.655 Au
0.881 0.955 0.152 Au
```

Properties
Excess energy over the best structure of this formula in the dataset in eV per atom: 0.0000
Space group: Pm, No. 6
Energy relative to the elements in eV/atom: -0.08

Entry from the Alexandria database: a relaxed structure of InGa2Au2 (PBE).

The structure in POSCAR format:
```
InGa2Au2
1.0
-2.418 3.055 0.930
-1.626 -0.174 -3.656
-6.400 -2.678 0.780
Au Ga In
2 2 1
direct
0.391 0.391 0.219 Au
0.609 0.609 0.781 Au
0.750 0.250 0.500 Ga
0.250 0.750 0.500 Ga
0.000 0.000 0.000 In
```

Properties
Excess energy over the best structure of this formula in the dataset in eV per atom: 0.1005
Space group: I4/mmm, No. 139
Energy relative to the elements in eV/atom: -0.15

Entry from the Alexandria database: a relaxed structure of In2GaAu3 (PBE).

The structure in POSCAR format:
```
In2GaAu3
1.0
-3.732 0.132 -5.561
6.416 -2.310 -2.626
-4.330 -3.734 4.551
In Ga Au
4 2 6
direct
0.250 0.928 0.072 In
0.250 0.222 0.778 In
0.750 0.072 0.928 In
0.750 0.778 0.222 In
0.250 0.600 0.400 Ga
0.750 0.400 0.600 Ga
0.037 0.230 0.385 Au
0.537 0.385 0.230 Au
0.000 0.500 0.000 Au
0.963 0.770 0.615 Au
0.500 0.000 0.500 Au
0.463 0.615 0.770 Au
```

Properties
Excess energy over the best structure of this formula in the dataset in eV per atom: 0.0386
Space group: C2/c, No. 15
Energy relative to the elements in eV/atom: -0.17

Entry from the Alexandria database: a relaxed structure of In2Ga5Au12 (PBE).

The structure in POSCAR format:
```
In2Ga5Au12
1.0
-0.124 -5.181 1.121
3.694 -4.884 -7.002
8.653 -3.359 0.598
In Ga Au
2 5 12
direct
0.000 0.813 0.187 In
0.000 0.187 0.813 In
0.803 0.394 0.394 Ga
0.550 0.234 0.234 Ga
0.500 0.000 0.000 Ga
0.450 0.766 0.766 Ga
0.197 0.606 0.606 Ga
0.090 0.198 0.198 Au
0.187 0.072 0.540 Au
0.187 0.540 0.072 Au
0.574 0.135 0.664 Au
0.574 0.664 0.135 Au
0.738 0.577 0.577 Au
0.262 0.423 0.423 Au
0.426 0.865 0.336 Au
0.426 0.336 0.865 Au
0.813 0.928 0.460 Au
0.813 0.460 0.928 Au
0.910 0.802 0.802 Au
```

Properties
Space group: C2/m, No. 12
Energy relative to the elements in eV/atom: -0.13

Entry from the Alexandria database: a relaxed structure of In2GaAu (PBE).

The structure in POSCAR format:
```
In2GaAu
1.0
-3.513 -2.246 1.218
1.641 -3.571 -1.851
3.533 -5.275 8.212
Au Ga In
2 2 4
direct
0.000 0.000 0.000 Au
0.750 0.250 0.500 Au
0.500 0.500 0.000 Ga
0.250 0.750 0.500 Ga
0.627 0.125 0.250 In
0.123 0.625 0.250 In
0.375 0.373 0.750 In
0.875 0.877 0.750 In
```

Properties
Space group: I-42d, No. 122
Energy relative to the elements in eV/atom: 0.01

Entry from the Alexandria database: a relaxed structure of InGa3Au (PBE).

The structure in POSCAR format:
```
InGa3Au
1.0
5.044 0.000 0.000
0.000 5.044 0.000
0.000 0.000 5.044
Au Ga In
1 3 1
direct
0.000 0.000 0.000 Au
0.000 0.500 0.000 Ga
0.000 0.000 0.500 Ga
0.500 0.000 0.000 Ga
0.500 0.500 0.500 In
```

Properties
Excess energy over the best structure of this formula in the dataset in eV per atom: 0.2233
Space group: Pm-3m, No. 221
Energy relative to the elements in eV/atom: 0.14

Entry from the Alexandria database: a relaxed structure of InGa2Au2 (PBE).

The structure in POSCAR format:
```
InGa2Au2
1.0
4.606 0.000 0.000
0.000 4.606 0.000
2.303 2.303 5.067
Au Ga In
2 2 1
direct
0.750 0.250 0.500 Au
0.250 0.750 0.500 Au
0.376 0.376 0.248 Ga
0.624 0.624 0.752 Ga
0.000 0.000 0.000 In
```

Properties
Excess energy over the best structure of this formula in the dataset in eV per atom: 0.1484
Space group: I4/mmm, No. 139
Energy relative to the elements in eV/atom: -0.10

Entry from the Alexandria database: a relaxed structure of InGaAu6 (PBE).

The structure in POSCAR format:
```
InGaAu6
1.0
-2.143 2.686 2.383
0.452 -2.552 3.282
7.143 3.889 2.041
In Ga Au
1 1 6
direct
0.000 0.000 0.000 In
0.000 0.000 0.500 Ga
0.500 0.500 0.000 Au
0.500 0.500 0.500 Au
0.500 0.000 0.257 Au
0.500 0.000 0.743 Au
0.000 0.500 0.257 Au
0.000 0.500 0.743 Au
```

Properties
Space group: P4/mmm, No. 123
Energy relative to the elements in eV/atom: -0.07

Entry from the Alexandria database: a relaxed structure of InGaAu4 (PBE).

The structure in POSCAR format:
```
InGaAu4
1.0
-3.708 -3.165 -1.852
-1.173 -1.851 5.512
-3.488 6.635 1.486
In Ga Au
2 2 8
direct
0.361 0.250 0.138 In
0.639 0.750 0.862 In
0.259 0.250 0.526 Ga
0.741 0.750 0.474 Ga
0.736 0.250 0.493 Au
0.264 0.750 0.507 Au
0.647 0.250 0.859 Au
0.353 0.750 0.141 Au
0.898 0.002 0.205 Au
0.102 0.502 0.795 Au
0.898 0.498 0.205 Au
0.102 0.998 0.795 Au
```

Properties
Excess energy over the best structure of this formula in the dataset in eV per atom: 0.0000
Space group: P2_1/m, No. 11
Energy relative to the elements in eV/atom: -0.12

Entry from the Alexandria database: a relaxed structure of In2GaAu2 (PBE).

The structure in POSCAR format:
```
In2GaAu2
1.0
-5.162 5.922 3.722
-6.517 -2.393 -5.232
-0.860 -1.997 1.985
Au Ga In
4 2 4
direct
0.160 0.660 0.500 Au
0.660 0.840 0.500 Au
0.840 0.340 0.500 Au
0.340 0.160 0.500 Au
0.000 0.000 0.000 Ga
0.500 0.500 0.000 Ga
0.362 0.862 0.000 In
0.862 0.638 0.000 In
0.638 0.138 0.000 In
0.138 0.362 0.000 In
```

Properties
Excess energy over the best structure of this formula in the dataset in eV per atom: 0.1357
Space group: P4/mbm, No. 127
Energy relative to the elements in eV/atom: -0.04

Entry from the Alexandria database: a relaxed structure of InGa2Au (PBE).

The structure in POSCAR format:
```
InGa2Au
1.0
-2.102 1.533 -1.965
-2.475 -0.982 1.882
0.700 6.462 4.291
Au Ga In
1 2 1
direct
0.500 0.500 0.000 Au
0.000 0.000 0.786 Ga
0.000 0.000 0.214 Ga
0.500 0.500 0.500 In
```

Properties
Space group: P4/mmm, No. 123
Energy relative to the elements in eV/atom: -0.05

Entry from the Alexandria database: a relaxed structure of InGa2Au8 (PBE).

The structure in POSCAR format:
```
InGa2Au8
1.0
-3.032 2.185 0.446
-3.956 -5.521 0.157
3.977 0.721 7.615
In Ga Au
1 2 8
direct
0.500 0.000 0.000 In
0.793 0.338 0.585 Ga
0.207 0.662 0.415 Ga
0.413 0.554 0.826 Au
0.679 0.937 0.358 Au
0.833 0.748 0.667 Au
0.951 0.262 0.903 Au
0.167 0.252 0.333 Au
0.321 0.063 0.642 Au
0.587 0.446 0.174 Au
0.049 0.738 0.097 Au
```

Properties
Space group: C2/m, No. 12
Energy relative to the elements in eV/atom: -0.10

Entry from the Alexandria database: a relaxed structure of InGa9Au2 (PBE).

The structure in POSCAR format:
```
InGa9Au2
1.0
5.948 0.000 2.738
2.974 8.497 1.369
-0.579 0.000 9.087
In Ga Au
2 18 4
direct
0.500 0.000 0.000 In
0.250 0.500 0.500 In
0.750 0.500 0.500 Ga
0.000 0.000 0.000 Ga
0.948 0.944 0.705 Ga
0.597 0.056 0.295 Ga
0.642 0.205 0.556 Ga
0.403 0.795 0.444 Ga
0.802 0.795 0.556 Ga
0.153 0.205 0.444 Ga
0.108 0.944 0.295 Ga
0.347 0.056 0.705 Ga
0.802 0.556 0.795 Ga
0.153 0.444 0.205 Ga
0.108 0.295 0.944 Ga
0.347 0.705 0.056 Ga
0.948 0.705 0.944 Ga
0.597 0.295 0.056 Ga
0.642 0.556 0.205 Ga
0.403 0.444 0.795 Ga
0.875 0.250 0.750 Au
0.875 0.750 0.250 Au
0.875 0.250 0.250 Au
0.375 0.750 0.750 Au
```

Properties
Space group: I4_1/amd, No. 141
Energy relative to the elements in eV/atom: -0.05

Entry from the Alexandria database: a relaxed structure of In2GaAu2 (PBE).

The structure in POSCAR format:
```
In2GaAu2
1.0
-2.446 -3.339 1.558
3.674 -2.072 1.327
0.231 0.152 6.967
Au Ga In
2 1 2
direct
0.392 0.392 0.216 Au
0.608 0.608 0.784 Au
0.000 0.000 0.000 Ga
0.750 0.250 0.500 In
0.250 0.750 0.500 In
```

Properties
Excess energy over the best structure of this formula in the dataset in eV per atom: 0.1872
Space group: I4/mmm, No. 139
Energy relative to the elements in eV/atom: 0.01

Entry from the Alexandria database: a relaxed structure of In4GaAu5 (PBE).

The structure in POSCAR format:
```
In4GaAu5
1.0
5.142 -0.153 2.154
2.179 5.945 1.219
1.355 0.150 7.536
In Ga Au
4 1 5
direct
0.806 0.567 0.816 In
0.571 0.259 0.628 In
0.364 0.761 0.355 In
0.125 0.428 0.183 In
0.132 0.981 0.033 Ga
0.274 0.693 0.783 Au
0.136 0.163 0.589 Au
0.792 0.827 0.427 Au
0.648 0.309 0.217 Au
0.642 0.013 0.970 Au
```

Properties
Space group: P1, No. 1
Energy relative to the elements in eV/atom: -0.18

Entry from the Alexandria database: a relaxed structure of InGa2Au4 (PBE).

The structure in POSCAR format:
```
InGa2Au4
1.0
-3.285 2.270 1.647
-1.906 -1.298 3.652
4.205 5.366 6.656
In Ga Au
1 2 4
direct
0.000 0.000 0.000 In
0.797 0.797 0.610 Ga
0.203 0.203 0.390 Ga
0.894 0.894 0.318 Au
0.106 0.106 0.682 Au
0.613 0.613 0.160 Au
0.387 0.387 0.840 Au
```

Properties
Excess energy over the best structure of this formula in the dataset in eV per atom: 0.0000
Space group: R-3m, No. 166
Energy relative to the elements in eV/atom: -0.13

Entry from the Alexandria database: a relaxed structure of InGa2Au4 (PBE).

The structure in POSCAR format:
```
InGa2Au4
1.0
5.312 0.000 0.000
0.000 5.312 0.000
2.656 2.656 6.460
Au Ga In
4 2 1
direct
0.209 0.209 0.582 Au
0.791 0.791 0.418 Au
0.000 0.500 0.000 Au
0.500 0.000 0.000 Au
0.399 0.399 0.202 Ga
0.601 0.601 0.798 Ga
0.000 0.000 0.000 In
```

Properties
Excess energy over the best structure of this formula in the dataset in eV per atom: 0.3358
Space group: I4/mmm, No. 139
Energy relative to the elements in eV/atom: 0.20

Entry from the Alexandria database: a relaxed structure of InGa2Au (PBE).

The structure in POSCAR format:
```
InGa2Au
1.0
-4.369 0.740 -0.690
-0.959 -2.692 3.179
0.110 3.244 2.781
Au Ga In
1 2 1
direct
0.500 0.000 0.000 Au
0.000 0.000 0.500 Ga
0.000 0.500 0.000 Ga
0.500 0.500 0.500 In
```

Properties
Space group: P4/mmm, No. 123
Energy relative to the elements in eV/atom: -0.03